# 1
The following is a GGA-PBE calculation of a geometry-optimized LiAc3Pb4 structure, from Alexandria.

Values from the calculation:
energy = -4.00 eV/atom
V = 37.210 Å³/atom
mass density = 8461 kg/m³

a = 5.023 Å, b = 6.919 Å, c = 17.130 Å
α = 90.00°, β = 90.00°, γ = 90.00°
Space group Immm (No. 71)
Inequivalent atoms, fractional coordinates:
Li (0.000, 0.000, 0.000) (multiplicity 2)
Ac (0.000, 0.000, 0.500) (multiplicity 2)
Ac (0.000, 0.500, 0.303) (multiplicity 4)
Pb (0.000, 0.275, 0.119) (multiplicity 8)

=====

# 2
The following is a GGA-PBE calculation of a geometry-optimized BeAs2Pt structure, from Alexandria.

Values from the calculation:
energy = -4.70 eV/atom
V = 16.853 Å³/atom
mass density = 8719 kg/m³

a = 4.623 Å, b = 3.295 Å, c = 4.651 Å
α = 90.00°, β = 107.89°, γ = 90.00°
Space group P2/m (No. 10)
Inequivalent atoms, fractional coordinates:
Be (0.000, 0.000, 0.000) (multiplicity 1)
As (0.269, 0.500, 0.782) (multiplicity 2)
Pt (0.500, 0.000, 0.500) (multiplicity 1)

=====

# 3
The following is a GGA-PBE calculation of a geometry-optimized Pm7Nd3 structure, from Alexandria.

Values from the calculation:
V = 34.595 Å³/atom
ΔE to the lowest computed polymorph = 0 meV per atom
mass density = 6949 kg/m³

a = 18.682 Å, b = 5.162 Å, c = 7.316 Å
α = 90.00°, β = 101.31°, γ = 90.00°
Space group C2/m (No. 12)
Inequivalent atoms, fractional coordinates:
Pm (0.000, 0.000, 0.000) (multiplicity 2)
Pm (0.100, 0.500, 0.300) (multiplicity 4)
Pm (0.100, 0.500, 0.800) (multiplicity 4)
Pm (0.200, 0.000, 0.600) (multiplicity 4)
Nd (0.000, 0.000, 0.500) (multiplicity 2)
Nd (0.200, 0.000, 0.100) (multiplicity 4)

=====

# 4
The following is a GGA-PBE calculation of a geometry-optimized Cr2NiAs structure, from Alexandria.

Values from the calculation:
energy = -7.43 eV/atom
V = 12.565 Å³/atom
mass density = 7850 kg/m³

a = 3.695 Å, b = 3.731 Å, c = 7.292 Å
α = 90.00°, β = 90.00°, γ = 90.00°
Space group Imm2 (No. 44)
Inequivalent atoms, fractional coordinates:
Cr (0.000, 0.000, 0.000) (multiplicity 2)
Cr (0.000, 0.500, 0.248) (multiplicity 2)
Ni (0.000, 0.500, 0.751) (multiplicity 2)
As (0.000, 0.000, 0.498) (multiplicity 2)

=====

# 5
The following is a GGA-PBE calculation of a geometry-optimized NiHgAs structure, from Alexandria.

Values from the calculation:
V = 18.503 Å³/atom
ΔE to the lowest computed polymorph = 82 meV per atom
mass density = 9998 kg/m³

a = 6.055 Å, b = 6.055 Å, c = 6.055 Å
α = 90.00°, β = 90.00°, γ = 90.00°
Space group F-43m (No. 216)
Inequivalent atoms, fractional coordinates:
Ni (0.000, 0.000, 0.000) (multiplicity 4)
Hg (0.250, 0.250, 0.750) (multiplicity 4)
As (0.250, 0.250, 0.250) (multiplicity 4)

=====

# 6
The following is a GGA-PBE calculation of a geometry-optimized TbEr2In structure, from Alexandria.

Values from the calculation:
V = 28.042 Å³/atom
ΔE to the lowest computed polymorph = 0 meV per atom
mass density = 9005 kg/m³

a = 4.823 Å, b = 4.823 Å, c = 4.821 Å
α = 90.00°, β = 90.00°, γ = 90.00°
Space group P4/mmm (No. 123)
Inequivalent atoms, fractional coordinates:
Tb (0.000, 0.000, 0.000) (multiplicity 1)
Er (0.000, 0.500, 0.500) (multiplicity 2)
In (0.500, 0.500, 0.000) (multiplicity 1)